Here is a PBEsol-optimized structure of Cs3LiSi from Alexandria. Energies are from meta-GGA SCAN.

The structure in CIF format:
```
data_Cs3LiSi
_cell_length_a 7.092
_cell_length_b 7.092
_cell_length_c 7.092
_cell_angle_alpha 90.00
_cell_angle_beta 90.00
_cell_angle_gamma 90.00
_symmetry_space_group_name_H-M 'P m -3 m'
_symmetry_Int_Tables_number 221
_symmetry_space_group_name_Hall '-P 4 2 3'
loop_
_atom_site_label
_atom_site_type_symbol
_atom_site_fract_x
_atom_site_fract_y
_atom_site_fract_z
Cs1 Cs 0.000 0.000 0.500
Li1 Li 0.500 0.500 0.500
Si1 Si 0.000 0.000 0.000
```

Summary:
E_tot, eV/atom: -24.778
Energy relative to the elements, uncorrected, eV per atom: 0.39
D(E_F), states/eV/cell: 2.99


Here is a PBEsol-optimized structure of NbPIN2 from Alexandria. Energies are from meta-GGA SCAN.

The structure in CIF format:
```
data_NbPIN2
_cell_length_a 3.780
_cell_length_b 3.780
_cell_length_c 5.077
_cell_angle_alpha 90.00
_cell_angle_beta 90.00
_cell_angle_gamma 90.00
_symmetry_space_group_name_H-M 'P 4/m m m'
_symmetry_Int_Tables_number 123
_symmetry_space_group_name_Hall '-P 4 2'
loop_
_atom_site_label
_atom_site_type_symbol
_atom_site_fract_x
_atom_site_fract_y
_atom_site_fract_z
Nb1 Nb 0.000 0.000 0.000
P1 P 0.500 0.500 0.500
I1 I 0.500 0.500 0.000
N1 N 0.000 0.500 0.500
```

Summary:
E_tot, eV/atom: -18.214
Energy relative to the elements, uncorrected, eV per atom: 1.56
D(E_F), states/eV/cell: 3.16


Here is a PBEsol-optimized structure of TaMnCo2 from Alexandria. Energies are from meta-GGA SCAN.

The structure in CIF format:
```
data_TaMnCo2
_cell_length_a 5.042
_cell_length_b 7.975
_cell_length_c 2.626
_cell_angle_alpha 90.00
_cell_angle_beta 109.06
_cell_angle_gamma 90.00
_symmetry_space_group_name_H-M 'C 1 2/m 1'
_symmetry_Int_Tables_number 12
_symmetry_space_group_name_Hall '-C 2y'
loop_
_atom_site_label
_atom_site_type_symbol
_atom_site_fract_x
_atom_site_fract_y
_atom_site_fract_z
Ta1 Ta 0.000 0.000 0.000
Mn1 Mn 0.000 0.500 0.000
Co1 Co 0.250 0.250 0.500
```

Summary:
E_tot, eV/atom: -29.822
D(E_F), states/eV/cell: 6.17
E_form, eV per atom: 0.040


Here is a PBEsol-optimized structure of Sb2PRuSe from Alexandria. Energies are from meta-GGA SCAN.

The structure in CIF format:
```
data_Sb2PRuSe
_cell_length_a 5.322
_cell_length_b 5.322
_cell_length_c 4.452
_cell_angle_alpha 90.00
_cell_angle_beta 90.00
_cell_angle_gamma 90.00
_symmetry_space_group_name_H-M 'P 4/m m m'
_symmetry_Int_Tables_number 123
_symmetry_space_group_name_Hall '-P 4 2'
loop_
_atom_site_label
_atom_site_type_symbol
_atom_site_fract_x
_atom_site_fract_y
_atom_site_fract_z
Sb1 Sb 0.000 0.500 0.000
P1 P 0.000 0.000 0.500
Ru1 Ru 0.500 0.500 0.500
Se1 Se 0.500 0.500 0.000
```

Summary:
E_tot, eV/atom: -26.707
Energy relative to the elements, uncorrected, eV per atom: 1.26
D(E_F), states/eV/cell: 3.64


Here is a PBEsol-optimized structure of KMo2Br from Alexandria. Energies are from meta-GGA SCAN.

The structure in CIF format:
```
data_KMo2Br
_cell_length_a 2.818
_cell_length_b 4.862
_cell_length_c 11.530
_cell_angle_alpha 90.00
_cell_angle_beta 90.00
_cell_angle_gamma 90.00
_symmetry_space_group_name_H-M 'I m m m'
_symmetry_Int_Tables_number 71
_symmetry_space_group_name_Hall '-I 2 2'
loop_
_atom_site_label
_atom_site_type_symbol
_atom_site_fract_x
_atom_site_fract_y
_atom_site_fract_z
K1 K 0.000 0.000 0.000
Mo1 Mo 0.000 0.500 0.207
Br1 Br 0.000 0.000 0.500
```

Summary:
E_tot, eV/atom: -23.465
Energy relative to the elements, uncorrected, eV per atom: 0.92
D(E_F), states/eV/cell: 3.78


Here is a PBEsol-optimized structure of TlZnIn2 from Alexandria. Energies are from meta-GGA SCAN.

The structure in CIF format:
```
data_TlZnIn2
_cell_length_a 5.188
_cell_length_b 5.188
_cell_length_c 3.544
_cell_angle_alpha 90.00
_cell_angle_beta 90.00
_cell_angle_gamma 90.00
_symmetry_space_group_name_H-M 'P 4/m m m'
_symmetry_Int_Tables_number 123
_symmetry_space_group_name_Hall '-P 4 2'
loop_
_atom_site_label
_atom_site_type_symbol
_atom_site_fract_x
_atom_site_fract_y
_atom_site_fract_z
Tl1 Tl 0.000 0.000 0.000
Zn1 Zn 0.500 0.500 0.000
In1 In 0.000 0.500 0.500
```

Summary:
E_tot, eV/atom: -37.944
D(E_F), states/eV/cell: 1.85
E_form, eV per atom: 0.218


> Which of these has the highest E_tot?

NbPIN2


> Among the records above, which one has the highest D(E_F)?

TaMnCo2


> E_tot of number 6 (TlZnIn2)?

-37.944 eV/atom